In2GaTePb | GGA-PBE | optimized geometry

Properties
Crystal system: tetragonal
VASP energy (eV per atom): -2.611
Magnetization (μB per atom): 0.00

Lattice parameters (Å, degrees): 5.8120 6.2233 5.8120 90.00 90.00 90.00
Fractional positions:
Pb 0.0000 0.0000 0.0000
In 0.5000 0.0000 0.0000
In 0.0000 0.0000 0.5000
Te 0.0000 0.5000 0.0000
Ga 0.5000 0.5000 0.5000